This record from Alexandria via LeMat-Bulk describes Ba3VSb2O8 after structural relaxation. The functional is PBE+U.

a b c (Å): 5.9734 5.9734 7.9357
angles (deg): 90.00 90.00 120.00
Closest atoms and distances in Å follow each position.
Fractional coordinates of all 14 atoms:
Ba 0.3333 0.6667 0.6366  1 O 2.50
Ba 0.6667 0.3333 0.3634  1 O 2.50
Ba 0.0000 0.0000 0.0000  12 O 3.16-3.47
V 0.0000 0.0000 0.5000  6 O 2.09
Sb 0.3333 0.6667 0.2076  4 O 2.03-2.07
Sb 0.6667 0.3333 0.7924  4 O 2.03-2.07
O 0.3333 0.6667 0.9512  1 Sb 2.03
O 0.6667 0.3333 0.0488  1 Sb 2.03
O 0.1601 0.8399 0.3388  1 Sb 2.07, 1 V 2.09
O 0.8399 0.1601 0.6612  1 Sb 2.07, 1 V 2.09
O 0.1601 0.3202 0.3388  1 Sb 2.07, 1 V 2.09
O 0.8399 0.6798 0.6612  1 Sb 2.07, 1 V 2.09
O 0.6798 0.8399 0.3388  1 Sb 2.07, 1 V 2.09
O 0.3202 0.1601 0.6612  1 Sb 2.07, 1 V 2.09

Values from the calculation:
total magnetization: 2.8 Bohr magnetons per cell
space-group type: P-3m1
final energy: -6.26 eV/atom
density of states at the Fermi level: 5.33 states/eV/cell
calculated volume: 17.52 Å³ per atom